1.
# Li2InSi (PBE, optimized geometry)
data_Li2InSi
_chemical_formula_sum 'Li2 In1 Si1'
_symmetry_space_group_name_H-M 'P 1 2/m 1'
_symmetry_Int_Tables_number 10
_symmetry_space_group_name_Hall '-P 2y'
_cell_length_a 2.873
_cell_length_b 4.099
_cell_length_c 5.825
_cell_angle_alpha 90.00
_cell_angle_beta 90.37
_cell_angle_gamma 90.00
loop_
_atom_site_label
_atom_site_type_symbol
_atom_site_fract_x
_atom_site_fract_y
_atom_site_fract_z
Li1 Li 0.002 0.000 0.281
In1 In 0.500 0.500 0.000
Si1 Si 0.500 0.500 0.500
# - energy relative to the elements, uncorrected (eV/atom) = -0.1418


2.
# ErBIr2 (PBE, optimized geometry)
data_ErBIr2
_chemical_formula_sum 'Er2 B2 Ir4'
_symmetry_space_group_name_H-M 'C m m m'
_symmetry_Int_Tables_number 65
_symmetry_space_group_name_Hall '-C 2 2'
_cell_length_a 4.999
_cell_length_b 7.834
_cell_length_c 3.208
_cell_angle_alpha 90.00
_cell_angle_beta 90.00
_cell_angle_gamma 90.00
loop_
_atom_site_label
_atom_site_type_symbol
_atom_site_fract_x
_atom_site_fract_y
_atom_site_fract_z
Er1 Er 0.000 0.000 0.000
B1 B 0.000 0.500 0.000
Ir1 Ir 0.000 0.326 0.500
# - calculated total energy (eV for the cell shown) = -61.628


3.
# YMg2CdF (PBE, optimized geometry)
data_YMg2CdF
_chemical_formula_sum 'Y1 Mg2 Cd1 F1'
_symmetry_space_group_name_H-M 'P 4/m m m'
_symmetry_Int_Tables_number 123
_symmetry_space_group_name_Hall '-P 4 2'
_cell_length_a 6.271
_cell_length_b 6.271
_cell_length_c 4.242
_cell_angle_alpha 90.00
_cell_angle_beta 90.00
_cell_angle_gamma 90.00
loop_
_atom_site_label
_atom_site_type_symbol
_atom_site_fract_x
_atom_site_fract_y
_atom_site_fract_z
Y1 Y 0.000 0.000 0.000
Mg1 Mg 0.000 0.500 0.000
Cd1 Cd 0.500 0.500 0.500
F1 F 0.000 0.000 0.500
# - energy relative to the elements, uncorrected (eV/atom) = -0.4907


4.
# BaSr3N (PBE, optimized geometry)
data_BaSr3N
_chemical_formula_sum 'Ba1 Sr3 N1'
_symmetry_space_group_name_H-M 'P m -3 m'
_symmetry_Int_Tables_number 221
_symmetry_space_group_name_Hall '-P 4 2 3'
_cell_length_a 5.662
_cell_length_b 5.662
_cell_length_c 5.662
_cell_angle_alpha 90.00
_cell_angle_beta 90.00
_cell_angle_gamma 90.00
loop_
_atom_site_label
_atom_site_type_symbol
_atom_site_fract_x
_atom_site_fract_y
_atom_site_fract_z
Ba1 Ba 0.000 0.000 0.000
Sr1 Sr 0.000 0.500 0.500
N1 N 0.500 0.500 0.500
# - energy relative to the elements, uncorrected (eV/atom) = -0.0744
# - energy relative to the lowest polymorph listed for this composition (meV per atom) = 162


5.
# Pr4Nd3Pt4 (PBE, optimized geometry)
data_Pr4Nd3Pt4
_chemical_formula_sum 'Pr8 Nd6 Pt8'
_symmetry_space_group_name_H-M 'I m m m'
_symmetry_Int_Tables_number 71
_symmetry_space_group_name_Hall '-I 2 2'
_cell_length_a 4.772
_cell_length_b 7.916
_cell_length_c 16.174
_cell_angle_alpha 90.00
_cell_angle_beta 90.00
_cell_angle_gamma 90.00
loop_
_atom_site_label
_atom_site_type_symbol
_atom_site_fract_x
_atom_site_fract_y
_atom_site_fract_z
Pr1 Pr 0.000 0.218 0.168
Nd1 Nd 0.000 0.000 0.404
Nd2 Nd 0.000 0.500 0.500
Pt1 Pt 0.000 0.319 0.000
Pt2 Pt 0.000 0.500 0.297
# - calculated total energy (eV for the cell shown) = -131.600


6.
# Cd2InHg (PBE, optimized geometry)
data_Cd2InHg
_chemical_formula_sum 'Cd8 In4 Hg4'
_symmetry_space_group_name_H-M 'F -4 3 m'
_symmetry_Int_Tables_number 216
_symmetry_space_group_name_Hall 'F -4 2 3'
_cell_length_a 7.352
_cell_length_b 7.352
_cell_length_c 7.352
_cell_angle_alpha 90.00
_cell_angle_beta 90.00
_cell_angle_gamma 90.00
loop_
_atom_site_label
_atom_site_type_symbol
_atom_site_fract_x
_atom_site_fract_y
_atom_site_fract_z
Cd1 Cd 0.000 0.000 0.000
Cd2 Cd 0.250 0.250 0.250
In1 In 0.250 0.250 0.750
Hg1 Hg 0.000 0.000 0.500
# - energy relative to the lowest polymorph listed for this composition (meV per atom) = 13


7.
# YTcN3 (PBE, optimized geometry)
data_YTcN3
_chemical_formula_sum 'Y2 Tc2 N6'
_symmetry_space_group_name_H-M 'P 1'
_symmetry_Int_Tables_number 1
_symmetry_space_group_name_Hall 'P 1'
_cell_length_a 4.291
_cell_length_b 5.401
_cell_length_c 5.921
_cell_angle_alpha 105.59
_cell_angle_beta 90.30
_cell_angle_gamma 98.71
loop_
_atom_site_label
_atom_site_type_symbol
_atom_site_fract_x
_atom_site_fract_y
_atom_site_fract_z
Y1 Y 0.000 0.000 0.000
Y2 Y 0.269 0.676 0.455
Tc1 Tc 0.599 0.455 0.968
Tc2 Tc 0.688 0.254 0.522
N1 N 0.011 0.028 0.422
N2 N 0.260 0.202 0.387
N3 N 0.359 0.704 0.074
N4 N 0.465 0.090 0.777
N5 N 0.792 0.404 0.228
N6 N 0.815 0.599 0.720
# - energy relative to the elements, uncorrected (eV/atom) = -0.4580


8.
# TeBr (PBE, optimized geometry)
data_TeBr
_chemical_formula_sum 'Te4 Br4'
_symmetry_space_group_name_H-M 'F -4 3 m'
_symmetry_Int_Tables_number 216
_symmetry_space_group_name_Hall 'F -4 2 3'
_cell_length_a 7.114
_cell_length_b 7.114
_cell_length_c 7.114
_cell_angle_alpha 90.00
_cell_angle_beta 90.00
_cell_angle_gamma 90.00
loop_
_atom_site_label
_atom_site_type_symbol
_atom_site_fract_x
_atom_site_fract_y
_atom_site_fract_z
Te1 Te 0.000 0.000 0.000
Br1 Br 0.250 0.250 0.750
# - energy relative to the elements, uncorrected (eV/atom) = 0.6825


9.
# TbPrY2Tm (PBE, optimized geometry)
data_TbPrY2Tm
_chemical_formula_sum 'Tb4 Pr4 Y8 Tm4'
_symmetry_space_group_name_H-M 'C m c m'
_symmetry_Int_Tables_number 63
_symmetry_space_group_name_Hall '-C 2c 2'
_cell_length_a 8.444
_cell_length_b 11.498
_cell_length_c 7.235
_cell_angle_alpha 90.00
_cell_angle_beta 90.00
_cell_angle_gamma 90.00
loop_
_atom_site_label
_atom_site_type_symbol
_atom_site_fract_x
_atom_site_fract_y
_atom_site_fract_z
Tb1 Tb 0.000 0.002 0.250
Pr1 Pr 0.000 0.270 0.250
Y1 Y 0.190 0.500 0.000
Tm1 Tm 0.000 0.277 0.750
# - calculated total energy (eV for the cell shown) = -99.500


10.
# Ac2TlZn4Ge3 (PBE, optimized geometry)
data_Ac2TlZn4Ge3
_chemical_formula_sum 'Ac2 Tl1 Zn4 Ge3'
_symmetry_space_group_name_H-M 'P -4 m 2'
_symmetry_Int_Tables_number 115
_symmetry_space_group_name_Hall 'P -4 -2'
_cell_length_a 4.613
_cell_length_b 4.613
_cell_length_c 10.493
_cell_angle_alpha 90.00
_cell_angle_beta 90.00
_cell_angle_gamma 90.00
loop_
_atom_site_label
_atom_site_type_symbol
_atom_site_fract_x
_atom_site_fract_y
_atom_site_fract_z
Ac1 Ac 0.000 0.500 0.241
Tl1 Tl 0.000 0.000 0.500
Zn1 Zn 0.000 0.000 0.000
Zn2 Zn 0.000 0.500 0.638
Zn3 Zn 0.500 0.500 0.000
Ge1 Ge 0.000 0.500 0.876
Ge2 Ge 0.500 0.500 0.500
# - calculated total energy (eV for the cell shown) = -33.236


11.
# Fe2CoSb (PBE, optimized geometry)
data_Fe2CoSb
_chemical_formula_sum 'Fe6 Co3 Sb3'
_symmetry_space_group_name_H-M 'R 3 m'
_symmetry_Int_Tables_number 160
_symmetry_space_group_name_Hall 'R 3 -2"'
_cell_length_a 3.0044
_cell_length_b 3.0044
_cell_length_c 22.7397
_cell_angle_alpha 90.00
_cell_angle_beta 90.00
_cell_angle_gamma 120.00
loop_
_atom_site_label
_atom_site_type_symbol
_atom_site_fract_x
_atom_site_fract_y
_atom_site_fract_z
Fe1 Fe 0.0000 0.0000 0.0000
Fe2 Fe 0.0000 0.0000 0.2555
Co1 Co 0.0000 0.0000 0.7430
Sb1 Sb 0.0000 0.0000 0.4979
# - energy relative to the elements, uncorrected (eV/atom) = 0.4207


12.
# NbGaGe2As (PBE, optimized geometry)
data_NbGaGe2As
_chemical_formula_sum 'Nb1 Ga1 Ge2 As1'
_symmetry_space_group_name_H-M 'P 4/m m m'
_symmetry_Int_Tables_number 123
_symmetry_space_group_name_Hall '-P 4 2'
_cell_length_a 4.980
_cell_length_b 4.980
_cell_length_c 4.924
_cell_angle_alpha 90.00
_cell_angle_beta 90.00
_cell_angle_gamma 90.00
loop_
_atom_site_label
_atom_site_type_symbol
_atom_site_fract_x
_atom_site_fract_y
_atom_site_fract_z
Nb1 Nb 0.000 0.000 0.000
Ga1 Ga 0.500 0.500 0.000
Ge1 Ge 0.000 0.500 0.500
As1 As 0.000 0.000 0.500
# - calculated total energy (eV for the cell shown) = -22.772